## MgFe2P2H18O18 (PBE+U)

Data for an optimized crystal structure of MgFe2P2H18O18.

Properties
The space-group type is P-1. Its calculated total energy is -5.65 eV/atom.

abc: 5.3901 7.2695 10.3467
angles: 97.48 101.46 111.03
Last column: magnetic moment on the atom in μB.
Sites, in units of the cell vectors:
1 Mg 0.0000 0.0000 0.0000  0.00
2 O 0.7125 0.9488 0.3647  0.07
3 O 0.6633 0.0297 0.8874  0.00
4 H 0.9133 0.3462 0.1827  0.00
5 H 0.6885 0.0382 0.7954  0.00
6 O 0.8196 0.0360 0.6584  0.07
7 O 0.7679 0.6897 0.9965  0.00
8 O 0.9038 0.0956 0.1788  0.01
9 H 0.8440 0.3244 0.4828  0.01
10 O 0.1804 0.9640 0.3416  0.07
11 H 0.5369 0.0126 0.1224  0.00
12 O 0.3367 0.9703 0.1126  0.00
13 O 0.9210 0.4870 0.1971  0.00
14 H 0.8361 0.6150 0.0581  0.00
15 H 0.1560 0.6756 0.5172  0.01
16 H 0.0867 0.6538 0.8173  0.00
17 H 0.6888 0.5110 0.2690  0.00
18 H 0.1639 0.3850 0.9419  0.00
19 O 0.2321 0.3103 0.0035  0.00
20 H 0.3897 0.3032 0.6824  0.00
21 O 0.0790 0.5130 0.8029  0.00
22 H 0.9100 0.4336 0.7305  0.00
23 O 0.1150 0.2873 0.4238  0.08
24 H 0.3115 0.9618 0.2046  0.00
25 H 0.6103 0.6968 0.3176  0.00
26 H 0.3112 0.4890 0.7310  0.00
27 H 0.0900 0.5664 0.2695  0.00
28 H 0.4631 0.9874 0.8776  0.00
29 Fe 0.5000 0.0000 0.5000  4.40
30 O 0.2875 0.0512 0.6353  0.07
31 H 0.6842 0.5975 0.9076  0.00
32 O 0.0962 0.9044 0.8212  0.01
33 O 0.6691 0.2985 0.5092  0.15
34 H 0.3158 0.4025 0.0924  0.00
35 O 0.4561 0.4549 0.6962  0.06
36 O 0.5439 0.5451 0.3038  0.06
37 O 0.8850 0.7127 0.5762  0.08
38 P 0.0197 0.9258 0.6731  0.01
39 P 0.9803 0.0742 0.3269  0.01
40 Fe 0.5000 0.5000 0.5000  4.40
41 O 0.3309 0.7015 0.4908  0.15